An optimized crystal structure of Rb2ScNi, computed with PBE-GGA.

Output
The calculation puts the magnetic moment at 0.00 μB/f.u. The energy above the most stable polymorph in this dataset is 0.0 kJ per mole of atoms. The formation enthalpy at 0 K comes out at 14.32 kcal/mol of atoms.

abc: 13.092 13.092 4.689
angles: 90.00 90.00 90.00
Space group I-42d (No. 122)
Symmetry-distinct sites (fractional):
Rb (0.087, 0.750, 0.125) x8
Sc (0.000, 0.000, 0.500) x4
Ni (0.000, 0.000, 0.000) x4